(1)
# PBE Ca2CrOsAu, optimized geometry
# D(E_F): 4.9 states/eV/f.u.
# volume: 26.48 Å³/atom
# energy relative to the elements: 3.55 eV/f.u.
# density: 6.513 g/cm³
# DFT total energy: -4.92 eV per atom
data_Ca2CrOsAu
_cell_length_a 5.5282
_cell_length_b 4.3325
_cell_length_c 5.5282
_cell_angle_alpha 90.00
_cell_angle_beta 90.00
_cell_angle_gamma 90.00
_space_group_name_H-M_alt 'P 1'
_space_group_IT_number 1
loop_
_space_group_symop_operation_xyz
'x,y,z'
loop_
_atom_site_label
_atom_site_type_symbol
_atom_site_fract_x
_atom_site_fract_y
_atom_site_fract_z
_atom_site_occupancy
Os1 Os 0.0000 0.5000 0.0000 1
Cr1 Cr 0.0000 0.0000 0.0000 1
Ca1 Ca 0.0000 0.0000 0.5000 1
Ca2 Ca 0.5000 0.0000 0.0000 1
Au1 Au 0.5000 0.5000 0.5000 1

***

(2)
# PBE CdCu2AsRh, optimized geometry
# D(E_F): 1.4 states/eV/f.u.
# volume: 18.62 Å³/atom
# energy relative to the elements: 1.48 eV/f.u.
# density: 7.443 g/cm³
# DFT total energy: -3.93 eV per atom
data_CdCu2AsRh
_cell_length_a 4.4501
_cell_length_b 4.4501
_cell_length_c 4.7014
_cell_angle_alpha 90.00
_cell_angle_beta 90.00
_cell_angle_gamma 90.00
_space_group_name_H-M_alt 'P 1'
_space_group_IT_number 1
loop_
_space_group_symop_operation_xyz
'x,y,z'
loop_
_atom_site_label
_atom_site_type_symbol
_atom_site_fract_x
_atom_site_fract_y
_atom_site_fract_z
_atom_site_occupancy
Rh1 Rh 0.0000 0.0000 0.5000 1
Cu1 Cu 0.5000 0.0000 0.0000 1
Cd1 Cd 0.5000 0.5000 0.5000 1
As1 As 0.0000 0.0000 0.0000 1
Cu2 Cu 0.0000 0.5000 0.0000 1

***

(3)
# PBE KZrSb, optimized geometry
# D(E_F): 2.4 states/eV/f.u.
# volume: 29.42 Å³/atom
# density: 4.743 g/cm³
# raw formation energy: 2.62 kcal/mol of atoms
# DFT total energy: -4.48 eV per atom
data_KZrSb
_cell_length_a 3.4178
_cell_length_b 3.4178
_cell_length_c 8.7231
_cell_angle_alpha 90.00
_cell_angle_beta 90.00
_cell_angle_gamma 120.00
_space_group_name_H-M_alt 'P 1'
_space_group_IT_number 1
loop_
_space_group_symop_operation_xyz
'x,y,z'
loop_
_atom_site_label
_atom_site_type_symbol
_atom_site_fract_x
_atom_site_fract_y
_atom_site_fract_z
_atom_site_occupancy
K1 K 0.0000 0.0000 0.0162 1
Zr1 Zr 0.3333 0.6667 0.6245 1
Sb1 Sb 0.6667 0.3333 0.3593 1

***

(4)
# PBE Th6Ir4Pt, optimized geometry
# D(E_F): 5.9 states/eV/f.u.
# volume: 26.59 Å³/atom
# energy relative to the elements: -10.36 eV/f.u.
# density: 13.377 g/cm³
# DFT total energy: -8.76 eV per atom
data_Th6Ir4Pt
_cell_length_a 4.0869
_cell_length_b 7.1200
_cell_length_c 20.9851
_cell_angle_alpha 90.00
_cell_angle_beta 90.00
_cell_angle_gamma 106.68
_space_group_name_H-M_alt 'P 1'
_space_group_IT_number 1
loop_
_space_group_symop_operation_xyz
'x,y,z'
loop_
_atom_site_label
_atom_site_type_symbol
_atom_site_fract_x
_atom_site_fract_y
_atom_site_fract_z
_atom_site_occupancy
Th1 Th 0.2308 0.4615 0.5847 1
Th2 Th 0.2308 0.4615 0.9153 1
Th3 Th 0.7692 0.5385 0.4153 1
Ir1 Ir 0.8642 0.7284 0.9556 1
Ir2 Ir 0.5962 0.1924 0.6293 1
Th4 Th 0.0421 0.0842 0.3359 1
Pt1 Pt 0.3431 0.6862 0.7500 1
Ir3 Ir 0.8642 0.7284 0.5444 1
Ir4 Ir 0.4038 0.8076 0.3707 1
Pt2 Pt 0.6569 0.3138 0.2500 1
Th5 Th 0.5000 0.0000 0.0000 1
Th6 Th 0.0421 0.0842 0.1641 1
Th7 Th 0.5000 0.0000 0.5000 1
Ir5 Ir 0.1358 0.2716 0.0444 1
Ir6 Ir 0.4038 0.8076 0.1293 1
Th8 Th 0.3132 0.6265 0.2500 1
Th9 Th 0.9579 0.9158 0.6641 1
Th10 Th 0.9579 0.9158 0.8359 1
Th11 Th 0.6868 0.3735 0.7500 1
Ir7 Ir 0.1358 0.2716 0.4556 1
Ir8 Ir 0.5962 0.1924 0.8707 1
Th12 Th 0.7692 0.5385 0.0847 1